{"formula": "ZrTa3H8", "functional": "PBE", "state": "optimized geometry", "volume_a3_per_cell": 96.5, "space_group": "No. 139", "total_energy_ev_per_atom": -6.14, "dos_at_fermi_per_ev_cell": 4.29, "lattice_angstrom": [[-2.2963, 2.2963, 4.5757], [2.2963, -2.2963, 4.5757], [2.2963, 2.2963, -4.5757]], "species": ["Zr", "Ta", "Ta", "Ta", "H", "H", "H", "H", "H", "H", "H", "H"], "frac_coords": [[0.0000, 0.0000, 0.0000], [0.2500, 0.7500, 0.5000], [0.5000, 0.5000, 0.0000], [0.7500, 0.2500, 0.5000], [0.1280, 0.1280, 0.5153], [0.1280, 0.6128, 0.0000], [0.3872, 0.3872, 0.5153], [0.3872, 0.8720, 0.0000], [0.6128, 0.1280, 0.0000], [0.6128, 0.6128, 0.4847], [0.8720, 0.3872, 0.0000], [0.8720, 0.8720, 0.4847]]}



{"formula": "MgAlPt", "functional": "PBE", "state": "optimized geometry", "e_form_ev_per_atom": -0.66, "volume_a3_per_cell": 100.6, "space_group": "No. 107", "dos_at_fermi_per_ev_cell": 1.35, "lattice_angstrom": [[2.9982, 0.0000, 0.0000], [0.0000, 2.9982, 0.0000], [0.0000, 0.0000, 11.1883]], "species": ["Mg", "Mg", "Al", "Al", "Pt", "Pt"], "frac_coords": [[0.0000, 0.0000, 0.0000], [0.5000, 0.5000, 0.5000], [0.0000, 0.0000, 0.6987], [0.5000, 0.5000, 0.1987], [0.0000, 0.0000, 0.3333], [0.5000, 0.5000, 0.8333]]}



What is the formula in the first record?
ZrTa3H8